A plane-wave DFT calculation with GGA-PBE was carried out for a relaxed structure of LiEr2Mg7.

Cell: 7.0901 7.0901 7.0901 Å, 60.00 60.00 60.00°
Positions (direct):
Li (0.0000, 0.0000, 0.0000)
Er (0.2500, 0.2500, 0.2500)
Er (0.7500, 0.7500, 0.7500)
Mg (0.2382, 0.2382, 0.7618)
Mg (0.2382, 0.7618, 0.2382)
Mg (0.2382, 0.7618, 0.7618)
Mg (0.5000, 0.5000, 0.5000)
Mg (0.7618, 0.2382, 0.2382)
Mg (0.7618, 0.2382, 0.7618)
Mg (0.7618, 0.7618, 0.2382)

calculated formation energy = 286 meV/atom
DOS at the Fermi energy = 0.561 states/eV/atom
SG = Fm-3m, No. 225
volume = 25.20 A^3/atom

=====

A plane-wave DFT calculation with GGA-PBE was carried out for a relaxed structure of Li6ErMg12.

Cell: 8.2246 8.2246 8.2246 Å, 109.47 109.47 109.47°
Positions (direct):
Li (0.1336, 0.5000, 0.6336)
Li (0.3664, 0.8664, 0.5000)
Li (0.5000, 0.3664, 0.8664)
Li (0.5000, 0.6336, 0.1336)
Li (0.6336, 0.1336, 0.5000)
Li (0.8664, 0.5000, 0.3664)
Er (0.0000, 0.0000, 0.0000)
Mg (0.0784, 0.2715, 0.8068)
Mg (0.1932, 0.4647, 0.2715)
Mg (0.1932, 0.9216, 0.7285)
Mg (0.2715, 0.1932, 0.4647)
Mg (0.2715, 0.8068, 0.0784)
Mg (0.4647, 0.2715, 0.1932)
Mg (0.5353, 0.7285, 0.8068)
Mg (0.7285, 0.1932, 0.9216)
Mg (0.7285, 0.8068, 0.5353)
Mg (0.8068, 0.0784, 0.2715)
Mg (0.8068, 0.5353, 0.7285)
Mg (0.9216, 0.7285, 0.1932)

calculated formation energy = 48 meV/atom
DOS at the Fermi energy = 0.563 states/eV/atom
SG = Im-3, No. 204
volume = 22.54 A^3/atom

=====

A plane-wave DFT calculation with GGA-PBE was carried out for a relaxed structure of Li2Er3Mg7.

Cell: 9.9505 9.9505 9.9505 Å, 35.14 35.14 35.14°
Positions (direct):
Li (0.1662, 0.1662, 0.1662)
Li (0.8338, 0.8338, 0.8338)
Er (0.3596, 0.3596, 0.3596)
Er (0.5000, 0.5000, 0.5000)
Er (0.6404, 0.6404, 0.6404)
Mg (0.0000, 0.0000, 0.0000)
Mg (0.0830, 0.0830, 0.5760)
Mg (0.0830, 0.5760, 0.0830)
Mg (0.4240, 0.9170, 0.9170)
Mg (0.5760, 0.0830, 0.0830)
Mg (0.9170, 0.4240, 0.9170)
Mg (0.9170, 0.9170, 0.4240)

calculated formation energy = -3 meV/atom
DOS at the Fermi energy = 1.028 states/eV/atom
SG = R-3m, No. 166
volume = 24.29 A^3/atom

=====

A plane-wave DFT calculation with GGA-PBE was carried out for a relaxed structure of LiEr2Mg.

Cell: 11.9361 11.9361 11.9361 Å, 16.10 16.10 16.10°
Positions (direct):
Li (0.0000, 0.0000, 0.0000)
Er (0.0908, 0.0908, 0.0908)
Er (0.9092, 0.9092, 0.9092)
Mg (0.5000, 0.5000, 0.5000)

calculated formation energy = 198 meV/atom
DOS at the Fermi energy = 1.052 states/eV/atom
SG = R-3m, No. 166
volume = 28.48 A^3/atom

=====

A plane-wave DFT calculation with GGA-PBE was carried out for a relaxed structure of LiEr2Mg6.

Cell: 6.1050 6.1050 6.1285 Å, 93.71 93.71 94.10°
Positions (direct):
Li (0.0000, 0.0000, 0.0000)
Er (0.3349, 0.3349, 0.3358)
Er (0.6651, 0.6651, 0.6642)
Mg (0.1672, 0.4996, 0.8337)
Mg (0.1673, 0.8327, 0.5000)
Mg (0.4996, 0.1672, 0.8337)
Mg (0.5004, 0.8328, 0.1663)
Mg (0.8327, 0.1673, 0.5000)
Mg (0.8328, 0.5004, 0.1663)

calculated formation energy = 18 meV/atom
DOS at the Fermi energy = 0.857 states/eV/atom
SG = C2/m, No. 12
volume = 25.20 A^3/atom

=====

A plane-wave DFT calculation with GGA-PBE was carried out for a relaxed structure of Li6ErMg6.

Cell: 7.6482 7.6482 7.6482 Å, 138.32 98.43 96.11°
Positions (direct):
Li (0.0000, 0.0000, 0.5000)
Li (0.0000, 0.5000, 0.0000)
Li (0.2200, 0.2200, 0.0000)
Li (0.5000, 0.0000, 0.0000)
Li (0.5000, 0.5000, 0.5000)
Li (0.7800, 0.7800, 0.0000)
Er (0.0000, 0.5000, 0.5000)
Mg (0.1960, 0.0000, 0.1960)
Mg (0.3477, 0.5000, 0.8477)
Mg (0.3499, 0.8499, 0.5000)
Mg (0.6501, 0.1501, 0.5000)
Mg (0.6523, 0.5000, 0.1523)
Mg (0.8040, 0.0000, 0.8040)

calculated formation energy = -10 meV/atom
DOS at the Fermi energy = 0.612 states/eV/atom
SG = Immm, No. 71
volume = 21.38 A^3/atom

=====

A plane-wave DFT calculation with GGA-PBE was carried out for a relaxed structure of Li3ErMg9.

Cell: 7.7704 7.7704 7.7275 Å, 97.02 97.02 138.56°
Positions (direct):
Li (0.0000, 0.0000, 0.0000)
Li (0.0000, 0.5000, 0.5000)
Li (0.5000, 0.0000, 0.5000)
Er (0.5000, 0.5000, 0.5000)
Mg (0.0087, 0.7948, 0.2917)
Mg (0.1497, 0.5038, 0.1529)
Mg (0.2052, 0.9913, 0.7083)
Mg (0.4962, 0.8503, 0.8471)
Mg (0.5000, 0.5000, 0.0000)
Mg (0.5038, 0.1497, 0.1529)
Mg (0.7948, 0.0087, 0.2917)
Mg (0.8503, 0.4962, 0.8471)
Mg (0.9913, 0.2052, 0.7083)

calculated formation energy = -28 meV/atom
DOS at the Fermi energy = 0.538 states/eV/atom
SG = C2/m, No. 12
volume = 22.29 A^3/atom

=====

A plane-wave DFT calculation with GGA-PBE was carried out for a relaxed structure of LiErMg2.

Cell: 3.4751 3.4751 7.8738 Å, 90.00 90.00 90.00°
Positions (direct):
Li (0.0000, 0.0000, 0.0000)
Er (0.0000, 0.0000, 0.5000)
Mg (0.5000, 0.5000, 0.2148)
Mg (0.5000, 0.5000, 0.7852)

calculated formation energy = -43 meV/atom
DOS at the Fermi energy = 0.900 states/eV/atom
SG = P4/mmm, No. 123
volume = 23.77 A^3/atom

=====

A plane-wave DFT calculation with GGA-PBE was carried out for a relaxed structure of LiErMg3.

Cell: 4.8832 4.8832 4.8832 Å, 90.00 90.00 90.00°
Positions (direct):
Li (0.0000, 0.0000, 0.0000)
Er (0.5000, 0.5000, 0.5000)
Mg (0.0000, 0.0000, 0.5000)
Mg (0.0000, 0.5000, 0.0000)
Mg (0.5000, 0.0000, 0.0000)

calculated formation energy = 159 meV/atom
DOS at the Fermi energy = 0.564 states/eV/atom
SG = Pm-3m, No. 221
volume = 23.29 A^3/atom

=====

A plane-wave DFT calculation with GGA-PBE was carried out for a relaxed structure of Li3ErMg4.

Cell: 3.4719 3.4719 14.5880 Å, 90.00 90.00 90.00°
Positions (direct):
Li (0.0000, 0.0000, 0.0000)
Li (0.0000, 0.0000, 0.2328)
Li (0.0000, 0.0000, 0.7672)
Er (0.0000, 0.0000, 0.5000)
Mg (0.5000, 0.5000, 0.1140)
Mg (0.5000, 0.5000, 0.3466)
Mg (0.5000, 0.5000, 0.6534)
Mg (0.5000, 0.5000, 0.8860)

calculated formation energy = -55 meV/atom
DOS at the Fermi energy = 0.518 states/eV/atom
SG = P4/mmm, No. 123
volume = 21.98 A^3/atom

=====

A plane-wave DFT calculation with GGA-PBE was carried out for a relaxed structure of LiEr3Mg7.

Cell: 11.4200 11.4200 15.3435 Å, 90.00 90.00 163.72°
Positions (direct):
Li (0.0311, 0.9689, 0.7500)
Li (0.9689, 0.0311, 0.2500)
Er (0.1201, 0.8799, 0.0471)
Er (0.1201, 0.8799, 0.4529)
Er (0.2622, 0.7378, 0.7500)
Er (0.7378, 0.2622, 0.2500)
Er (0.8799, 0.1201, 0.5471)
Er (0.8799, 0.1201, 0.9529)
Mg (0.2635, 0.7365, 0.0741)
Mg (0.2635, 0.7365, 0.4259)
Mg (0.3721, 0.6279, 0.1561)
Mg (0.3721, 0.6279, 0.3439)
Mg (0.4111, 0.5889, 0.7500)
Mg (0.4938, 0.5062, 0.0928)
Mg (0.4938, 0.5062, 0.4072)
Mg (0.5062, 0.4938, 0.5928)
Mg (0.5062, 0.4938, 0.9072)
Mg (0.5889, 0.4111, 0.2500)
Mg (0.6279, 0.3721, 0.6561)
Mg (0.6279, 0.3721, 0.8439)
Mg (0.7365, 0.2635, 0.5741)
Mg (0.7365, 0.2635, 0.9259)

calculated formation energy = 86 meV/atom
DOS at the Fermi energy = 0.765 states/eV/atom
SG = Cmcm, No. 63
volume = 25.50 A^3/atom

=====

A plane-wave DFT calculation with GGA-PBE was carried out for a relaxed structure of LiErMgMn.

Cell: 4.8869 4.8869 4.8869 Å, 60.00 60.00 60.00°
Positions (direct):
Li (0.0000, 0.0000, 0.0000)
Er (0.7500, 0.7500, 0.7500)
Mg (0.2500, 0.2500, 0.2500)
Mn (0.5000, 0.5000, 0.5000)

calculated formation energy = 166 meV/atom
DOS at the Fermi energy = 1.415 states/eV/atom
SG = F-43m, No. 216
volume = 20.63 A^3/atom